The following is a PBE+U calculation of an optimized crystal structure of BaMn2VF8, from Alexandria.

Structure (POSCAR):
```
BaMn2VF8
1.0
5.0915 0.0504 -0.0028
0.0986 5.2466 -0.0052
0.0119 0.0187 7.0674
F Ba V Mn
8 1 1 2
Cartesian
1.6238 1.5003 -0.0012 F
1.9896 1.5934 3.5316 F
4.1703 1.2835 5.5917 F
4.1622 1.2712 1.4672 F
3.2124 3.7223 3.5279 F
3.5782 3.8154 7.0607 F
1.0398 4.0445 5.5923 F
1.0317 4.0321 1.4678 F
0.0060 0.0093 3.5337 Ba
0.0000 0.0000 0.0000 V
2.6038 2.6626 5.4180 Mn
2.5982 2.6531 1.6414 Mn
```

Computed properties:
Total magnetization in μB/atom: 1.083
Electronic total energy in eV per formula unit: -74.2
Space-group type: P-1 (2)
DOS(E_F) in states/eV/atom: 0.00